Entry 1:
Compound: SrIn3Co
Source: the Alexandria database
Functional: PBEsol
Structure: relaxed

## Properties
For the energy of formation from the pure elements, the calculation gives -1.1 eV/f.u. The calculation puts the density of states at the Fermi level at 3.7 states/eV per cell. Its calculated total energy is -3.933 eV/atom.

a = 4.9248 Å, b = 4.9248 Å, c = 4.9248 Å
α = 90.00°, β = 90.00°, γ = 90.00°
Atoms (fractional coordinates):
Sr  0.0000  0.0000  0.0000
In  0.0000  0.5000  0.5000
In  0.5000  0.0000  0.5000
In  0.5000  0.5000  0.0000
Co  0.5000  0.5000  0.5000

Entry 2:
Compound: Tl2Hg
Source: the Alexandria database
Functional: PBEsol
Structure: relaxed

## Properties
For the energy of formation from the pure elements, the calculation gives 0.0 eV/f.u. The calculation puts the density of states at the Fermi level at 8.3 states/eV per cell. The value obtained for the energy above the lowest structure with this stoichiometry is 0.021 eV per atom. Its calculated total energy is -1.932 eV/atom.

a = 9.7761 Å, b = 9.7761 Å, c = 9.7761 Å
α = 60.00°, β = 60.00°, γ = 60.00°
Atoms (fractional coordinates):
Tl  0.0000  0.0000  0.0000
Tl  0.0000  0.0000  0.5000
Tl  0.0000  0.5000  0.0000
Tl  0.1864  0.1864  0.5636
Tl  0.1864  0.5636  0.1864
Tl  0.1864  0.5636  0.5636
Tl  0.4364  0.4364  0.8136
Tl  0.4364  0.8136  0.4364
Tl  0.4364  0.8136  0.8136
Tl  0.5000  0.0000  0.0000
Tl  0.5636  0.1864  0.1864
Tl  0.5636  0.1864  0.5636
Tl  0.5636  0.5636  0.1864
Tl  0.8136  0.4364  0.4364
Tl  0.8136  0.4364  0.8136
Tl  0.8136  0.8136  0.4364
Hg  0.1450  0.7850  0.7850
Hg  0.2150  0.2150  0.2150
Hg  0.2150  0.2150  0.8550
Hg  0.2150  0.8550  0.2150
Hg  0.7850  0.1450  0.7850
Hg  0.7850  0.7850  0.1450
Hg  0.7850  0.7850  0.7850
Hg  0.8550  0.2150  0.2150

Entry 3:
Compound: Sc2PBr
Source: the Alexandria database
Functional: PBEsol
Structure: relaxed

## Properties
The calculation puts the density of states at the Fermi level at 10.6 states/eV per cell. As for the uncorrected formation energy: -0.8429 eV/atom. Its calculated total energy is -6.061 eV/atom.

a = 5.9087 Å, b = 5.9087 Å, c = 11.8515 Å
α = 90.00°, β = 90.00°, γ = 90.00°
Atoms (fractional coordinates):
Sc  0.2191  0.2500  0.1250
Sc  0.2500  0.7191  0.3750
Sc  0.2500  0.7809  0.8750
Sc  0.2809  0.2500  0.6250
Sc  0.7191  0.7500  0.6250
Sc  0.7500  0.2191  0.8750
Sc  0.7500  0.2809  0.3750
Sc  0.7809  0.7500  0.1250
P  0.0000  0.0000  0.0000
P  0.0000  0.5000  0.2500
P  0.5000  0.0000  0.7500
P  0.5000  0.5000  0.5000
Br  0.0000  0.0000  0.5000
Br  0.0000  0.5000  0.7500
Br  0.5000  0.0000  0.2500
Br  0.5000  0.5000  0.0000

Entry 4:
Compound: ZnAuBr3
Source: the Alexandria database
Functional: PBEsol
Structure: relaxed

## Properties
The calculation puts the density of states at the Fermi level at 2.9 states/eV per cell. As for the uncorrected formation energy: 0.1068 eV/atom. Its calculated total energy is -2.116 eV/atom.

a = 5.0156 Å, b = 5.0156 Å, c = 5.0156 Å
α = 90.00°, β = 90.00°, γ = 90.00°
Atoms (fractional coordinates):
Zn  0.0000  0.0000  0.0000
Au  0.5000  0.5000  0.5000
Br  0.0000  0.0000  0.5000
Br  0.0000  0.5000  0.0000
Br  0.5000  0.0000  0.0000

Entry 5:
Compound: K2CrBiTe
Source: the Alexandria database
Functional: PBEsol
Structure: relaxed

## Properties
The calculation puts the density of states at the Fermi level at 4.9 states/eV per cell. As for the uncorrected formation energy: 0.2340 eV/atom. Its calculated total energy is -3.830 eV/atom.

a = 6.4119 Å, b = 6.4119 Å, c = 5.0768 Å
α = 90.00°, β = 90.00°, γ = 90.00°
Atoms (fractional coordinates):
K  0.0000  0.5000  0.0000
K  0.5000  0.0000  0.0000
Cr  0.0000  0.0000  0.5000
Bi  0.5000  0.5000  0.5000
Te  0.0000  0.0000  0.0000

Entry 6:
Compound: AlRhPb2
Source: the Alexandria database
Functional: PBEsol
Structure: relaxed

## Properties
For the energy of formation from the pure elements, the calculation gives 0.8 eV/f.u. The calculation puts the density of states at the Fermi level at 6.6 states/eV per cell. Its calculated total energy is -4.866 eV/atom.

a = 3.4723 Å, b = 3.4723 Å, c = 24.8047 Å
α = 90.00°, β = 90.00°, γ = 120.00°
Atoms (fractional coordinates):
Al  0.0000  0.0000  0.0000
Al  0.3333  0.6667  0.6667
Al  0.6667  0.3333  0.3333
Rh  0.0000  0.0000  0.5000
Rh  0.3333  0.6667  0.1667
Rh  0.6667  0.3333  0.8333
Pb  0.0000  0.0000  0.2425
Pb  0.0000  0.0000  0.7575
Pb  0.3333  0.6667  0.4241
Pb  0.3333  0.6667  0.9092
Pb  0.6667  0.3333  0.0908
Pb  0.6667  0.3333  0.5759

Entry 7:
Compound: BiP2I
Source: the Alexandria database
Functional: PBEsol
Structure: relaxed

## Properties
The calculation puts the density of states at the Fermi level at 14.1 states/eV per cell. As for the uncorrected formation energy: 0.6823 eV/atom. Its calculated total energy is -3.727 eV/atom.

a = 7.0624 Å, b = 7.0624 Å, c = 7.0624 Å
α = 90.00°, β = 90.00°, γ = 90.00°
Atoms (fractional coordinates):
Bi  0.0000  0.0000  0.0000
Bi  0.0000  0.5000  0.5000
Bi  0.5000  0.0000  0.5000
Bi  0.5000  0.5000  0.0000
P  0.2500  0.2500  0.2500
P  0.2500  0.2500  0.7500
P  0.2500  0.7500  0.2500
P  0.2500  0.7500  0.7500
P  0.7500  0.2500  0.2500
P  0.7500  0.2500  0.7500
P  0.7500  0.7500  0.2500
P  0.7500  0.7500  0.7500
I  0.0000  0.0000  0.5000
I  0.0000  0.5000  0.0000
I  0.5000  0.0000  0.0000
I  0.5000  0.5000  0.5000

Entry 8:
Compound: Mg2HgClF
Source: the Alexandria database
Functional: PBEsol
Structure: relaxed

## Properties
The calculation puts the density of states at the Fermi level at 1.6 states/eV per cell. As for the uncorrected formation energy: -0.2907 eV/atom. Its calculated total energy is -1.878 eV/atom.

a = 5.2915 Å, b = 5.2915 Å, c = 5.1000 Å
α = 90.00°, β = 90.00°, γ = 90.00°
Atoms (fractional coordinates):
Mg  0.0000  0.5000  0.0000
Mg  0.5000  0.0000  0.0000
Hg  0.0000  0.0000  0.0000
Cl  0.0000  0.0000  0.5000
F  0.5000  0.5000  0.5000

Entry 9:
Compound: LiMnMo2
Source: the Alexandria database
Functional: PBEsol
Structure: relaxed

## Properties
For the energy of formation from the pure elements, the calculation gives 1.3 eV/f.u. The calculation puts the density of states at the Fermi level at 8.3 states/eV per cell. The value obtained for the energy above the lowest structure with this stoichiometry is 0.000 eV per atom. Its calculated total energy is -8.485 eV/atom.

a = 3.0226 Å, b = 4.2199 Å, c = 8.8580 Å
α = 90.00°, β = 90.00°, γ = 90.00°
Atoms (fractional coordinates):
Li  0.0000  0.0000  0.0000
Li  0.5000  0.5000  0.0000
Mn  0.0000  0.0000  0.5000
Mn  0.5000  0.5000  0.5000
Mo  0.0000  0.5000  0.2720
Mo  0.0000  0.5000  0.7280
Mo  0.5000  0.0000  0.2720
Mo  0.5000  0.0000  0.7280

Entry 10:
Compound: TaWOF2
Source: the Alexandria database
Functional: PBEsol
Structure: relaxed

## Properties
The calculation puts the density of states at the Fermi level at 3.9 states/eV per cell. As for the uncorrected formation energy: -0.3956 eV/atom. Its calculated total energy is -7.488 eV/atom.

a = 4.2482 Å, b = 4.2482 Å, c = 3.9255 Å
α = 90.00°, β = 90.00°, γ = 90.00°
Atoms (fractional coordinates):
Ta  0.0000  0.0000  0.0000
W  0.5000  0.5000  0.5000
O  0.0000  0.0000  0.5000
F  0.0000  0.5000  0.0000
F  0.5000  0.0000  0.0000

Entry 11:
Compound: CsTl2OsSe
Source: the Alexandria database
Functional: PBEsol
Structure: relaxed

## Properties
The calculation puts the density of states at the Fermi level at 7.9 states/eV per cell. As for the uncorrected formation energy: 0.6100 eV/atom. Its calculated total energy is -3.844 eV/atom.

a = 5.2218 Å, b = 5.2218 Å, c = 5.5008 Å
α = 90.00°, β = 90.00°, γ = 90.00°
Atoms (fractional coordinates):
Cs  0.0000  0.0000  0.0000
Tl  0.0000  0.5000  0.5000
Tl  0.5000  0.0000  0.5000
Os  0.0000  0.0000  0.5000
Se  0.5000  0.5000  0.0000

Entry 12:
Compound: BaLiCo2
Source: the Alexandria database
Functional: PBEsol
Structure: relaxed

## Properties
For the energy of formation from the pure elements, the calculation gives 1.6 eV/f.u. The calculation puts the density of states at the Fermi level at 7.7 states/eV per cell. The value obtained for the energy above the lowest structure with this stoichiometry is 0.000 eV per atom. Its calculated total energy is -4.498 eV/atom.

a = 4.1176 Å, b = 4.1176 Å, c = 16.6055 Å
α = 90.00°, β = 90.00°, γ = 120.00°
Atoms (fractional coordinates):
Ba  0.0000  0.0000  0.0000
Ba  0.3333  0.6667  0.6667
Ba  0.6667  0.3333  0.3333
Li  0.0000  0.0000  0.5000
Li  0.3333  0.6667  0.1667
Li  0.6667  0.3333  0.8333
Co  0.0000  0.0000  0.1783
Co  0.0000  0.0000  0.8217
Co  0.3333  0.6667  0.4884
Co  0.3333  0.6667  0.8450
Co  0.6667  0.3333  0.1550
Co  0.6667  0.3333  0.5116

Entry 13:
Compound: CaTcPt2
Source: the Alexandria database
Functional: PBEsol
Structure: relaxed

## Properties
For the energy of formation from the pure elements, the calculation gives -1.0 eV/f.u. The calculation puts the density of states at the Fermi level at 3.6 states/eV per cell. The value obtained for the energy above the lowest structure with this stoichiometry is 0.000 eV per atom. Its calculated total energy is -7.077 eV/atom.

a = 2.7661 Å, b = 4.6819 Å, c = 4.9956 Å
α = 90.00°, β = 90.00°, γ = 90.00°
Atoms (fractional coordinates):
Ca  0.0000  0.0000  0.0000
Tc  0.0000  0.5000  0.6123
Pt  0.5000  0.0000  0.5019
Pt  0.5000  0.5000  0.1348